# CrMo2Ir PBE optimized geometry
data_CrMo2Ir
_chemical_formula_sum 'Cr1 Mo2 Ir1'
_cell_length_a 3.135
_cell_length_b 3.135
_cell_length_c 5.958
_cell_angle_alpha 90.00
_cell_angle_beta 90.00
_cell_angle_gamma 90.00
_space_group_name_H-M_alt 'P 4/m m m'
_space_group_IT_number 123
_space_group_name_Hall '-P 4 2'
loop_
_atom_site_label
_atom_site_type_symbol
_atom_site_fract_x
_atom_site_fract_y
_atom_site_fract_z
Cr1 Cr 0.000 0.000 0.000
Mo1 Mo 0.500 0.500 0.227
Ir1 Ir 0.000 0.000 0.500
# Excess energy over the best structure of this formula in the dataset (meV per atom): 110
# Energy of formation (eV/atom): 0.126
# N(E_F) (states/eV per atom): 1.147
# Total DFT energy (no corrections) (eV per atom): -9.91